# LaScAg (GGA-PBEsol, relaxed)
# DFT formation energy = -0.11 eV/f.u.
# Crystal system = hexagonal
# Symmetry = P-6m2, No. 187
# ΔE to the lowest computed polymorph = 0.088 eV per atom
data_LaScAg
_chemical_formula_sum 'La1 Sc1 Ag1'
_symmetry_space_group_name_H-M 'P 1'
_symmetry_Int_Tables_number 1
_symmetry_space_group_name_Hall 'P 1'
_cell_length_a 3.695
_cell_length_b 4.865
_cell_length_c 4.865
_cell_angle_alpha 120.00
_cell_angle_beta 90.00
_cell_angle_gamma 90.00
loop_
_atom_site_label
_atom_site_fract_x
_atom_site_fract_y
_atom_site_fract_z
Ag1 0.167 0.000 0.000
La1 0.666 0.333 0.667
Sc1 0.166 0.667 0.333

=====

# LaScAg (GGA-PBEsol, relaxed)
# DFT formation energy = -0.37 eV/f.u.
# Crystal system = tetragonal
# Symmetry = I4mm, No. 107
# ΔE to the lowest computed polymorph = 0.000 eV per atom
data_LaScAg
_chemical_formula_sum 'La1 Sc1 Ag1'
_symmetry_space_group_name_H-M 'P 1'
_symmetry_Int_Tables_number 1
_symmetry_space_group_name_Hall 'P 1'
_cell_length_a 3.478
_cell_length_b 3.478
_cell_length_c 6.654
_cell_angle_alpha 105.15
_cell_angle_beta 105.15
_cell_angle_gamma 90.00
loop_
_atom_site_label
_atom_site_fract_x
_atom_site_fract_y
_atom_site_fract_z
Sc1 0.362 0.362 0.725
Ag1 0.979 0.979 0.957
La1 0.659 0.659 0.318

=====

# LaScAg (GGA-PBEsol, relaxed)
# DFT formation energy = 1.82 eV/f.u.
# Crystal system = cubic
# Symmetry = F-43m, No. 216
# ΔE to the lowest computed polymorph = 0.732 eV per atom
data_LaScAg
_chemical_formula_sum 'La1 Sc1 Ag1'
_symmetry_space_group_name_H-M 'P 1'
_symmetry_Int_Tables_number 1
_symmetry_space_group_name_Hall 'P 1'
_cell_length_a 4.850
_cell_length_b 4.850
_cell_length_c 4.850
_cell_angle_alpha 60.00
_cell_angle_beta 60.00
_cell_angle_gamma 60.00
loop_
_atom_site_label
_atom_site_fract_x
_atom_site_fract_y
_atom_site_fract_z
Ag1 0.500 0.500 0.500
La1 0.250 0.250 0.250
Sc1 0.000 0.000 0.000

=====

# La2ScAg (GGA-PBEsol, relaxed)
# DFT formation energy = -0.16 eV/f.u.
# Crystal system = orthorhombic
# Symmetry = Cmmm, No. 65
# ΔE to the lowest computed polymorph = 0.053 eV per atom
data_La2ScAg
_chemical_formula_sum 'La2 Sc1 Ag1'
_symmetry_space_group_name_H-M 'P 1'
_symmetry_Int_Tables_number 1
_symmetry_space_group_name_Hall 'P 1'
_cell_length_a 3.551
_cell_length_b 5.520
_cell_length_c 5.520
_cell_angle_alpha 89.90
_cell_angle_beta 90.00
_cell_angle_gamma 90.00
loop_
_atom_site_label
_atom_site_fract_x
_atom_site_fract_y
_atom_site_fract_z
Sc1 0.500 0.000 0.000
Ag1 0.500 0.500 0.500
La1 0.000 0.500 0.000
La2 0.000 0.000 0.500

=====

# La2ScAg (GGA-PBEsol, relaxed)
# DFT formation energy = -0.38 eV/f.u.
# Crystal system = tetragonal
# Symmetry = P4mm, No. 99
# ΔE to the lowest computed polymorph = 0.000 eV per atom
data_La2ScAg
_chemical_formula_sum 'La2 Sc1 Ag1'
_symmetry_space_group_name_H-M 'P 1'
_symmetry_Int_Tables_number 1
_symmetry_space_group_name_Hall 'P 1'
_cell_length_a 3.550
_cell_length_b 3.550
_cell_length_c 8.427
_cell_angle_alpha 90.00
_cell_angle_beta 90.00
_cell_angle_gamma 90.00
loop_
_atom_site_label
_atom_site_fract_x
_atom_site_fract_y
_atom_site_fract_z
Sc1 0.000 0.000 0.547
Ag1 0.500 0.500 0.716
La1 0.000 0.000 0.966
La2 0.500 0.500 0.272

=====

# LaSc2Ag2 (GGA-PBEsol, relaxed)
# DFT formation energy = -0.69 eV/f.u.
# Crystal system = tetragonal
# Symmetry = P4/mbm, No. 127
# ΔE to the lowest computed polymorph = 0.000 eV per atom
data_LaSc2Ag2
_chemical_formula_sum 'La2 Sc4 Ag4'
_symmetry_space_group_name_H-M 'P 1'
_symmetry_Int_Tables_number 1
_symmetry_space_group_name_Hall 'P 1'
_cell_length_a 3.459
_cell_length_b 8.100
_cell_length_c 8.100
_cell_angle_alpha 90.00
_cell_angle_beta 90.00
_cell_angle_gamma 90.00
loop_
_atom_site_label
_atom_site_fract_x
_atom_site_fract_y
_atom_site_fract_z
Sc1 0.500 0.161 0.661
Sc2 0.500 0.661 0.839
Sc3 0.500 0.839 0.339
Sc4 0.500 0.339 0.161
Ag1 0.000 0.375 0.875
Ag2 0.000 0.875 0.625
Ag3 0.000 0.625 0.125
Ag4 0.000 0.125 0.375
La1 0.000 0.000 0.000
La2 0.000 0.500 0.500

=====

# LaSc2Ag (GGA-PBEsol, relaxed)
# DFT formation energy = -0.29 eV/f.u.
# Crystal system = tetragonal
# Symmetry = P4mm, No. 99
# ΔE to the lowest computed polymorph = 0.027 eV per atom
data_LaSc2Ag
_chemical_formula_sum 'La1 Sc2 Ag1'
_symmetry_space_group_name_H-M 'P 1'
_symmetry_Int_Tables_number 1
_symmetry_space_group_name_Hall 'P 1'
_cell_length_a 3.441
_cell_length_b 3.441
_cell_length_c 8.299
_cell_angle_alpha 90.00
_cell_angle_beta 90.00
_cell_angle_gamma 90.00
loop_
_atom_site_label
_atom_site_fract_x
_atom_site_fract_y
_atom_site_fract_z
Sc1 0.000 0.000 0.033
Sc2 0.500 0.500 0.278
Ag1 0.000 0.000 0.459
La1 0.500 0.500 0.729

=====

# LaScAg (GGA-PBEsol, relaxed)
# DFT formation energy = 0.12 eV/f.u.
# Crystal system = trigonal
# Symmetry = P3m1, No. 156
# ΔE to the lowest computed polymorph = 0.164 eV per atom
data_LaScAg
_chemical_formula_sum 'La1 Sc1 Ag1'
_symmetry_space_group_name_H-M 'P 1'
_symmetry_Int_Tables_number 1
_symmetry_space_group_name_Hall 'P 1'
_cell_length_a 3.415
_cell_length_b 3.415
_cell_length_c 7.438
_cell_angle_alpha 90.00
_cell_angle_beta 90.00
_cell_angle_gamma 120.00
loop_
_atom_site_label
_atom_site_fract_x
_atom_site_fract_y
_atom_site_fract_z
Ag1 0.000 0.000 0.022
La1 0.333 0.667 0.678
Sc1 0.667 0.333 0.300

=====

# La2Ag2Se (GGA-PBEsol, relaxed)
# Formation energy without anion corrections = -0.678 eV per atom
# Crystal system = tetragonal
# Symmetry = I4/mmm, No. 139
data_La2Ag2Se
_chemical_formula_sum 'La2 Ag2 Se1'
_symmetry_space_group_name_H-M 'P 1'
_symmetry_Int_Tables_number 1
_symmetry_space_group_name_Hall 'P 1'
_cell_length_a 3.752
_cell_length_b 3.752
_cell_length_c 9.153
_cell_angle_alpha 101.83
_cell_angle_beta 101.83
_cell_angle_gamma 90.00
loop_
_atom_site_label
_atom_site_fract_x
_atom_site_fract_y
_atom_site_fract_z
Se1 0.000 0.000 0.000
Ag1 0.250 0.750 0.500
Ag2 0.750 0.250 0.500
La1 0.399 0.399 0.797
La2 0.601 0.601 0.203

=====

# LaAgSe2 (GGA-PBEsol, relaxed)
# Formation energy without anion corrections = -0.982 eV per atom
# Crystal system = orthorhombic
# Symmetry = Cmmm, No. 65
data_LaAgSe2
_chemical_formula_sum 'La1 Ag1 Se2'
_symmetry_space_group_name_H-M 'P 1'
_symmetry_Int_Tables_number 1
_symmetry_space_group_name_Hall 'P 1'
_cell_length_a 3.674
_cell_length_b 3.674
_cell_length_c 7.136
_cell_angle_alpha 90.00
_cell_angle_beta 90.00
_cell_angle_gamma 103.68
loop_
_atom_site_label
_atom_site_fract_x
_atom_site_fract_y
_atom_site_fract_z
Ag1 0.500 0.500 0.500
La1 0.500 0.500 0.000
Se1 0.000 0.000 0.257
Se2 0.000 0.000 0.743

=====

# LaAgSe2 (GGA-PBEsol, relaxed)
# Formation energy without anion corrections = -1.214 eV per atom
# Crystal system = monoclinic
# Symmetry = Pm, No. 6
data_LaAgSe2
_chemical_formula_sum 'La1 Ag1 Se2'
_symmetry_space_group_name_H-M 'P 1'
_symmetry_Int_Tables_number 1
_symmetry_space_group_name_Hall 'P 1'
_cell_length_a 3.975
_cell_length_b 4.578
_cell_length_c 5.984
_cell_angle_alpha 90.00
_cell_angle_beta 108.54
_cell_angle_gamma 90.00
loop_
_atom_site_label
_atom_site_fract_x
_atom_site_fract_y
_atom_site_fract_z
Se1 0.911 0.000 0.943
Se2 0.673 0.500 0.453
Ag1 0.558 0.000 0.270
La1 0.359 0.500 0.835

=====

# La2AgSe (GGA-PBEsol, relaxed)
# Formation energy without anion corrections = -0.991 eV per atom
# Crystal system = tetragonal
# Symmetry = P4/mmm, No. 123
data_La2AgSe
_chemical_formula_sum 'La2 Ag1 Se1'
_symmetry_space_group_name_H-M 'P 1'
_symmetry_Int_Tables_number 1
_symmetry_space_group_name_Hall 'P 1'
_cell_length_a 4.292
_cell_length_b 4.292
_cell_length_c 6.213
_cell_angle_alpha 90.00
_cell_angle_beta 90.00
_cell_angle_gamma 90.00
loop_
_atom_site_label
_atom_site_fract_x
_atom_site_fract_y
_atom_site_fract_z
Ag1 0.500 0.500 0.500
La1 0.000 0.000 0.500
La2 0.500 0.500 0.000
Se1 0.000 0.000 0.000

=====

# LaAg3Se (GGA-PBEsol, relaxed)
# Formation energy without anion corrections = 1.244 eV per atom
# Crystal system = cubic
# Symmetry = Pm-3m, No. 221
data_LaAg3Se
_chemical_formula_sum 'La1 Ag3 Se1'
_symmetry_space_group_name_H-M 'P 1'
_symmetry_Int_Tables_number 1
_symmetry_space_group_name_Hall 'P 1'
_cell_length_a 5.435
_cell_length_b 5.435
_cell_length_c 5.435
_cell_angle_alpha 90.00
_cell_angle_beta 90.00
_cell_angle_gamma 90.00
loop_
_atom_site_label
_atom_site_fract_x
_atom_site_fract_y
_atom_site_fract_z
Se1 0.500 0.500 0.500
Ag1 0.000 0.500 0.000
Ag2 0.000 0.000 0.500
Ag3 0.500 0.000 0.000
La1 0.000 0.000 0.000

=====

# La2AgSe (GGA-PBEsol, relaxed)
# Formation energy without anion corrections = -0.996 eV per atom
# Crystal system = trigonal
# Symmetry = R-3m, No. 166
data_La2AgSe
_chemical_formula_sum 'La2 Ag1 Se1'
_symmetry_space_group_name_H-M 'P 1'
_symmetry_Int_Tables_number 1
_symmetry_space_group_name_Hall 'P 1'
_cell_length_a 4.258
_cell_length_b 4.258
_cell_length_c 7.719
_cell_angle_alpha 73.99
_cell_angle_beta 73.99
_cell_angle_gamma 60.00
loop_
_atom_site_label
_atom_site_fract_x
_atom_site_fract_y
_atom_site_fract_z
Ag1 0.000 0.000 0.000
La1 0.245 0.245 0.265
La2 0.755 0.755 0.735
Se1 0.500 0.500 0.500

=====

# LaAgSe2 (GGA-PBEsol, relaxed)
# Formation energy without anion corrections = -1.214 eV per atom
# Crystal system = trigonal
# Symmetry = R-3m, No. 166
data_LaAgSe2
_chemical_formula_sum 'La1 Ag1 Se2'
_symmetry_space_group_name_H-M 'P 1'
_symmetry_Int_Tables_number 1
_symmetry_space_group_name_Hall 'P 1'
_cell_length_a 4.365
_cell_length_b 4.365
_cell_length_c 6.464
_cell_angle_alpha 70.27
_cell_angle_beta 70.27
_cell_angle_gamma 60.00
loop_
_atom_site_label
_atom_site_fract_x
_atom_site_fract_y
_atom_site_fract_z
Se1 0.245 0.245 0.265
Se2 0.755 0.755 0.735
Ag1 0.500 0.500 0.500
La1 0.000 0.000 0.000

=====

# LaAg2Se2 (GGA-PBEsol, relaxed)
# Formation energy without anion corrections = -0.655 eV per atom
# Crystal system = tetragonal
# Symmetry = I4/mmm, No. 139
data_LaAg2Se2
_chemical_formula_sum 'La1 Ag2 Se2'
_symmetry_space_group_name_H-M 'P 1'
_symmetry_Int_Tables_number 1
_symmetry_space_group_name_Hall 'P 1'
_cell_length_a 4.971
_cell_length_b 5.734
_cell_length_c 4.971
_cell_angle_alpha 64.32
_cell_angle_beta 90.00
_cell_angle_gamma 115.68
loop_
_atom_site_label
_atom_site_fract_x
_atom_site_fract_y
_atom_site_fract_z
Se1 0.750 0.500 0.750
Se2 0.250 0.500 0.250
Ag1 0.642 0.285 0.358
Ag2 0.358 0.715 0.642
La1 0.000 0.000 0.000

=====

# LaSi2Ag2 (GGA-PBEsol, relaxed)
# Formation energy without anion corrections = -0.535 eV per atom
# Crystal system = tetragonal
# Symmetry = I4/mmm, No. 139
data_LaSi2Ag2
_chemical_formula_sum 'La1 Si2 Ag2'
_symmetry_space_group_name_H-M 'P 1'
_symmetry_Int_Tables_number 1
_symmetry_space_group_name_Hall 'P 1'
_cell_length_a 4.251
_cell_length_b 4.251
_cell_length_c 6.062
_cell_angle_alpha 110.53
_cell_angle_beta 110.53
_cell_angle_gamma 90.00
loop_
_atom_site_label
_atom_site_fract_x
_atom_site_fract_y
_atom_site_fract_z
Si1 0.611 0.611 0.222
Si2 0.389 0.389 0.778
Ag1 0.250 0.750 0.500
Ag2 0.750 0.250 0.500
La1 0.000 0.000 0.000

=====

# LaSi2Ag (GGA-PBEsol, relaxed)
# Formation energy without anion corrections = -0.203 eV per atom
# Crystal system = tetragonal
# Symmetry = P4/mmm, No. 123
data_LaSi2Ag
_chemical_formula_sum 'La1 Si2 Ag1'
_symmetry_space_group_name_H-M 'P 1'
_symmetry_Int_Tables_number 1
_symmetry_space_group_name_Hall 'P 1'
_cell_length_a 4.202
_cell_length_b 4.380
_cell_length_c 4.380
_cell_angle_alpha 90.00
_cell_angle_beta 90.00
_cell_angle_gamma 90.00
loop_
_atom_site_label
_atom_site_fract_x
_atom_site_fract_y
_atom_site_fract_z
Ag1 0.500 0.500 0.500
La1 0.500 0.000 0.000
Si1 0.000 0.000 0.500
Si2 0.000 0.500 0.000

=====

# LaSi2Ag (GGA-PBEsol, relaxed)
# Formation energy without anion corrections = -0.259 eV per atom
# Crystal system = monoclinic
# Symmetry = Cm, No. 8
data_LaSi2Ag
_chemical_formula_sum 'La1 Si2 Ag1'
_symmetry_space_group_name_H-M 'P 1'
_symmetry_Int_Tables_number 1
_symmetry_space_group_name_Hall 'P 1'
_cell_length_a 4.011
_cell_length_b 4.480
_cell_length_c 5.488
_cell_angle_alpha 108.40
_cell_angle_beta 90.00
_cell_angle_gamma 116.59
loop_
_atom_site_label
_atom_site_fract_x
_atom_site_fract_y
_atom_site_fract_z
Ag1 0.526 0.052 0.609
La1 0.751 0.502 0.243
Si1 0.974 0.949 0.898
Si2 0.249 0.497 0.750

=====

# LaSi2Ag (GGA-PBEsol, relaxed)
# Formation energy without anion corrections = -0.617 eV per atom
# Crystal system = orthorhombic
# Symmetry = Cmcm, No. 63
data_LaSi2Ag
_chemical_formula_sum 'La2 Si4 Ag2'
_symmetry_space_group_name_H-M 'P 1'
_symmetry_Int_Tables_number 1
_symmetry_space_group_name_Hall 'P 1'
_cell_length_a 4.238
_cell_length_b 4.276
_cell_length_c 8.963
_cell_angle_alpha 76.20
_cell_angle_beta 90.00
_cell_angle_gamma 90.00
loop_
_atom_site_label
_atom_site_fract_x
_atom_site_fract_y
_atom_site_fract_z
Si1 0.250 0.967 0.065
Si2 0.750 0.033 0.935
Si3 0.250 0.833 0.334
Si4 0.750 0.167 0.666
Ag1 0.250 0.252 0.496
Ag2 0.750 0.748 0.504
La1 0.250 0.599 0.803
La2 0.750 0.401 0.197